A geometry-optimized ScPt2Rh2 structure, computed with PBE-GGA.

VASP energy = -0.514 Ry/atom
Calculated volume = 168 Å³ per cell
Energy relative to the elements = -36 kJ/mol of atoms
Total magnetization = 0.000 μB/cell
Relative energy among the computed polymorphs = 30 meV per atom

Lattice parameters (Å, degrees): 6.8498 6.8498 3.5785 90.00 90.00 90.00
With the nearest neighbours (Å) after each atom.
Positions (direct):
Sc 0.0000 0.0000 0.0000  4 Pt 2.66
Sc 0.5000 0.5000 0.0000  4 Pt 2.66
Rh 0.1592 0.6592 0.5000  6 Pt 2.66-2.71
Rh 0.6592 0.8408 0.5000  6 Pt 2.66-2.71
Rh 0.8408 0.3408 0.5000  6 Pt 2.66-2.71
Rh 0.3408 0.1592 0.5000  6 Pt 2.66-2.71
Pt 0.3629 0.8629 0.0000  1 Pt 2.66, 2 Sc 2.66, 6 Rh 2.66-2.71
Pt 0.8629 0.6371 0.0000  1 Pt 2.66, 2 Sc 2.66, 6 Rh 2.66-2.71
Pt 0.6371 0.1371 0.0000  1 Pt 2.66, 2 Sc 2.66, 6 Rh 2.66-2.71
Pt 0.1371 0.3629 0.0000  1 Pt 2.66, 2 Sc 2.66, 6 Rh 2.66-2.71

---

A geometry-optimized CsBaTa structure, computed with PBE-GGA.

VASP energy = -0.253 Ry/atom
Calculated volume = 551 Å³ per cell
Energy relative to the elements = 139 kJ/mol of atoms
Total magnetization = 5.772 μB/cell
Relative energy among the computed polymorphs = 910 meV per atom

Lattice parameters (Å, degrees): 14.9871 6.1654 5.9606 90.00 90.00 90.00
With the nearest neighbours (Å) after each atom.
Positions (direct):
Cs 0.7350 0.2500 0.0014  1 Ta 3.68
Cs 0.7650 0.7500 0.5014  1 Ta 3.68
Cs 0.2650 0.7500 0.9986  1 Ta 3.68
Cs 0.2350 0.2500 0.4986  1 Ta 3.68
Ba 0.0000 0.0000 0.0000  2 Ba 3.08, 4 Ta 3.36
Ba 0.5000 0.5000 0.5000  2 Ba 3.08, 4 Ta 3.36
Ba 0.5000 0.0000 0.5000  2 Ba 3.08, 4 Ta 3.36
Ba 0.0000 0.5000 0.0000  2 Ba 3.08, 4 Ta 3.36
Ta 0.4892 0.2500 0.0000  2 Ta 3.10, 4 Ba 3.36
Ta 0.0108 0.7500 0.5000  2 Ta 3.10, 4 Ba 3.36
Ta 0.5108 0.7500 0.0000  2 Ta 3.10, 4 Ba 3.36
Ta 0.9892 0.2500 0.5000  2 Ta 3.10, 4 Ba 3.36

---

A geometry-optimized Pa2Pd6Pt3 structure, computed with PBE-GGA.

VASP energy = -0.502 Ry/atom
Calculated volume = 389 Å³ per cell
Energy relative to the elements = -60 kJ/mol of atoms
Total magnetization = 0.000 μB/cell

Lattice parameters (Å, degrees): 5.4206 5.6107 14.9671 90.86 79.57 61.11
With the nearest neighbours (Å) after each atom.
Positions (direct):
Pa 0.2917 0.8887 0.1282  6 Pd 2.68-2.98, 2 Pt 2.73-2.91
Pa 0.6914 0.3887 0.6282  6 Pd 2.68-2.98, 2 Pt 2.73-2.91
Pa 0.7083 0.1113 0.8718  6 Pd 2.68-2.98, 2 Pt 2.73-2.91
Pa 0.3086 0.6113 0.3718  6 Pd 2.68-2.98, 2 Pt 2.73-2.91
Pd 0.2008 0.5722 0.8881  2 Pa 2.68-2.96, 6 Pd 2.78-3.00, 2 Pt 2.79-2.80
Pd 0.1615 0.1067 0.9439  7 Pd 2.78-3.00, 3 Pa 2.85-3.09, 2 Pt 2.89-3.06
Pd 0.6615 0.6189 0.9477  1 Pt 2.74, 7 Pd 2.78-2.94, 2 Pa 2.93
Pd 0.3389 0.0722 0.3881  2 Pa 2.68-2.96, 6 Pd 2.78-3.00, 2 Pt 2.79-2.80
Pd 0.7718 0.1189 0.4477  1 Pt 2.74, 7 Pd 2.78-2.94, 2 Pa 2.93
Pd 0.7879 0.6067 0.4439  7 Pd 2.78-3.00, 3 Pa 2.85-3.09, 2 Pt 2.89-3.06
Pd 0.7992 0.4278 0.1119  2 Pa 2.68-2.96, 6 Pd 2.78-3.00, 2 Pt 2.79-2.80
Pd 0.8385 0.8933 0.0561  7 Pd 2.78-3.00, 3 Pa 2.85-3.09, 2 Pt 2.89-3.06
Pd 0.3385 0.3811 0.0523  1 Pt 2.74, 7 Pd 2.78-2.94, 2 Pa 2.93
Pd 0.6611 0.9278 0.6119  2 Pa 2.68-2.96, 6 Pd 2.78-3.00, 2 Pt 2.79-2.80
Pd 0.2282 0.8811 0.5523  1 Pt 2.74, 7 Pd 2.78-2.94, 2 Pa 2.93
Pd 0.2121 0.3933 0.5561  7 Pd 2.78-3.00, 3 Pa 2.85-3.09, 2 Pt 2.89-3.06
Pt 0.0685 0.7514 0.7209  2 Pa 2.73-3.01, 4 Pd 2.74-2.89, 4 Pt 2.80-2.89
Pt 0.0919 0.2500 0.7500  4 Pt 2.80-2.89, 2 Pa 2.91, 4 Pd 3.04-3.06
Pt 0.5408 0.7486 0.7791  2 Pa 2.73-3.01, 4 Pd 2.74-2.89, 4 Pt 2.80-2.89
Pt 0.4592 0.2514 0.2209  2 Pa 2.73-3.01, 4 Pd 2.74-2.89, 4 Pt 2.80-2.89
Pt 0.9315 0.2486 0.2791  2 Pa 2.73-3.01, 4 Pd 2.74-2.89, 4 Pt 2.80-2.89
Pt 0.9081 0.7500 0.2500  4 Pt 2.80-2.89, 2 Pa 2.91, 4 Pd 3.04-3.06

---

A geometry-optimized Ac2LaSm9 structure, computed with PBE-GGA.

VASP energy = -0.338 Ry/atom
Calculated volume = 429 Å³ per cell
Energy relative to the elements = 3 kJ/mol of atoms
Total magnetization = 0.000 μB/cell

Lattice parameters (Å, degrees): 5.2300 5.2300 15.6828 90.00 90.00 90.00
With the nearest neighbours (Å) after each atom.
Positions (direct):
Ac 0.0000 0.0000 0.3316  12 Sm 3.70-3.72
Ac 0.0000 0.0000 0.6684  12 Sm 3.70-3.72
La 0.0000 0.0000 0.0000  12 Sm 3.66-3.70
Sm 0.5000 0.5000 0.0000  8 Sm 3.66, 4 La 3.70
Sm 0.5000 0.5000 0.3316  4 Ac 3.70, 8 Sm 3.72
Sm 0.5000 0.5000 0.6684  4 Ac 3.70, 8 Sm 3.72
Sm 0.5000 0.0000 0.1629  8 Sm 3.66-3.72, 2 La 3.66, 2 Ac 3.72
Sm 0.5000 0.0000 0.5000  8 Sm 3.70-3.72, 4 Ac 3.72
Sm 0.5000 0.0000 0.8371  8 Sm 3.66-3.72, 2 La 3.66, 2 Ac 3.72
Sm 0.0000 0.5000 0.1629  2 La 3.66, 8 Sm 3.66-3.72, 2 Ac 3.72
Sm 0.0000 0.5000 0.5000  8 Sm 3.70-3.72, 4 Ac 3.72
Sm 0.0000 0.5000 0.8371  2 La 3.66, 8 Sm 3.66-3.72, 2 Ac 3.72

---

A geometry-optimized La7HoCd4 structure, computed with PBE-GGA.

VASP energy = -0.265 Ry/atom
Calculated volume = 393 Å³ per cell
Energy relative to the elements = -5 kJ/mol of atoms
Total magnetization = 0.000 μB/cell

Lattice parameters (Å, degrees): 5.9991 9.3148 8.2182 70.65 68.59 71.21
With the nearest neighbours (Å) after each atom.
Positions (direct):
La 0.7912 0.8952 0.5224  6 La 3.50-3.78, 4 Cd 3.65-3.75, 1 Ho 3.88
La 0.2088 0.1048 0.4776  6 La 3.50-3.78, 4 Cd 3.65-3.75, 1 Ho 3.88
La 0.0664 0.5958 0.2714  3 Cd 3.27-3.31, 3 La 3.50-3.65
La 0.9336 0.4042 0.7286  3 Cd 3.27-3.31, 3 La 3.50-3.65
La 0.2616 0.6971 0.7798  4 Cd 3.12-3.36, 1 Ho 3.49
La 0.5000 0.0000 0.0000  2 Ho 3.00, 4 Cd 3.09-3.29
La 0.7384 0.3029 0.2202  4 Cd 3.12-3.36, 1 Ho 3.49
Ho 0.0000 0.0000 0.0000  2 La 3.00
Cd 0.5403 0.2869 0.6326  1 Cd 3.11, 4 La 3.12-3.31
Cd 0.4597 0.7131 0.3674  1 Cd 3.11, 4 La 3.12-3.31
Cd 0.6820 0.6532 0.9829  5 La 3.09-3.36, 1 Cd 3.11
Cd 0.3180 0.3468 0.0171  5 La 3.09-3.36, 1 Cd 3.11

---

A geometry-optimized CsLaSb2 structure, computed with PBE-GGA.

VASP energy = -0.283 Ry/atom
Calculated volume = 144 Å³ per cell
Formation energy without anion corrections = -1.369 eV per formula unit
Total magnetization = 0.000 μB/cell

Lattice parameters (Å, degrees): 5.8768 5.8768 5.8768 60.00 60.00 60.00
With the nearest neighbours (Å) after each atom.
Positions (direct):
Cs 0.0000 0.0000 0.0000  8 Sb 3.60
Sb 0.2500 0.2500 0.2500  4 La 3.60, 4 Cs 3.60
Sb 0.7500 0.7500 0.7500  4 La 3.60, 4 Cs 3.60
La 0.5000 0.5000 0.5000  8 Sb 3.60

---

A geometry-optimized K2TaTl structure, computed with PBE-GGA.

VASP energy = -0.239 Ry/atom
Calculated volume = 154 Å³ per cell
Energy relative to the elements = 82 kJ/mol of atoms
Total magnetization = 0.871 μB/cell
Relative energy among the computed polymorphs = 85 meV per atom

Lattice parameters (Å, degrees): 5.1773 5.1773 9.9081 86.98 86.98 35.48
With the nearest neighbours (Å) after each atom.
Positions (direct):
K 0.9872 0.9872 0.0777  2 K 3.16
K 0.7559 0.7559 0.6801  2 K 3.16
Ta 0.5095 0.5095 0.4172  3 Tl 2.79-2.93
Tl 0.2474 0.2474 0.3250  3 Ta 2.79-2.93

---

A geometry-optimized Tb2Si4NiIr3 structure, computed with PBE-GGA.

VASP energy = -0.537 Ry/atom
Calculated volume = 166 Å³ per cell
Formation energy without anion corrections = -9.712 eV per formula unit
Total magnetization = 0.001 μB/cell

Lattice parameters (Å, degrees): 4.0973 4.0973 9.9080 90.00 90.00 90.00
With the nearest neighbours (Å) after each atom.
Positions (direct):
Tb 0.5000 0.0000 0.2474  6 Ir 3.12-3.23, 8 Si 3.15-3.19, 2 Ni 3.23
Tb 0.0000 0.5000 0.7526  6 Ir 3.12-3.23, 8 Si 3.15-3.19, 2 Ni 3.23
Si 0.5000 0.5000 0.0000  4 Ir 2.42
Si 0.0000 0.0000 0.0000  4 Ir 2.42
Si 0.5000 0.0000 0.6289  3 Ir 2.39-2.41, 2 Ni 2.41
Si 0.0000 0.5000 0.3711  3 Ir 2.39-2.41, 2 Ni 2.41
Ni 0.5000 0.5000 0.5000  4 Si 2.41
Ir 0.0000 0.0000 0.5000  4 Si 2.41
Ir 0.5000 0.0000 0.8701  5 Si 2.39-2.42
Ir 0.0000 0.5000 0.1299  5 Si 2.39-2.42

---

A geometry-optimized Ac4NdSn15 structure, computed with PBE-GGA.

VASP energy = -0.335 Ry/atom
Calculated volume = 585 Å³ per cell
Energy relative to the elements = -48 kJ/mol of atoms
Total magnetization = 0.000 μB/cell

Lattice parameters (Å, degrees): 4.8725 4.8725 24.6425 90.00 90.00 90.00
With the nearest neighbours (Å) after each atom.
Positions (direct):
Ac 0.0000 0.0000 0.1958  12 Sn 3.45-3.49
Ac 0.0000 0.0000 0.3989  12 Sn 3.45-3.49
Ac 0.0000 0.0000 0.6011  12 Sn 3.45-3.49
Ac 0.0000 0.0000 0.8042  12 Sn 3.45-3.49
Nd 0.0000 0.0000 0.0000  12 Sn 3.38-3.45
Sn 0.5000 0.5000 0.0000  8 Sn 3.38, 4 Nd 3.45
Sn 0.5000 0.5000 0.1967  4 Ac 3.45, 8 Sn 3.48-3.50
Sn 0.5000 0.5000 0.3989  4 Ac 3.45, 8 Sn 3.49
Sn 0.5000 0.5000 0.6011  4 Ac 3.45, 8 Sn 3.49
Sn 0.5000 0.5000 0.8033  4 Ac 3.45, 8 Sn 3.48-3.50
Sn 0.5000 0.0000 0.0949  8 Sn 3.38-3.50, 2 Nd 3.38, 2 Ac 3.48
Sn 0.5000 0.0000 0.2973  8 Sn 3.45-3.49, 4 Ac 3.49
Sn 0.5000 0.0000 0.5000  8 Sn 3.45-3.49, 4 Ac 3.49
Sn 0.5000 0.0000 0.7027  8 Sn 3.45-3.49, 4 Ac 3.49
Sn 0.5000 0.0000 0.9051  8 Sn 3.38-3.50, 2 Nd 3.38, 2 Ac 3.48
Sn 0.0000 0.5000 0.0949  8 Sn 3.38-3.50, 2 Nd 3.38, 2 Ac 3.48
Sn 0.0000 0.5000 0.2973  8 Sn 3.45-3.49, 4 Ac 3.49
Sn 0.0000 0.5000 0.5000  8 Sn 3.45-3.49, 4 Ac 3.49
Sn 0.0000 0.5000 0.7027  8 Sn 3.45-3.49, 4 Ac 3.49
Sn 0.0000 0.5000 0.9051  8 Sn 3.38-3.50, 2 Nd 3.38, 2 Ac 3.48

---

A geometry-optimized BaSiAsOs2 structure, computed with PBE-GGA.

VASP energy = -0.415 Ry/atom
Calculated volume = 125 Å³ per cell
Formation energy without anion corrections = 6.213 eV per formula unit
Total magnetization = 0.000 μB/cell

Lattice parameters (Å, degrees): 4.6181 4.6181 5.8635 90.00 90.00 90.00
With the nearest neighbours (Å) after each atom.
Positions (direct):
Si 0.5000 0.5000 0.5000  4 Ba 3.27
As 0.0000 0.0000 0.0000  4 Os 2.31
Os 0.0000 0.5000 0.0000  2 As 2.31
Os 0.5000 0.0000 0.0000  2 As 2.31
Ba 0.0000 0.0000 0.5000  2 As 2.93, 4 Si 3.27

---

VASP energy of number 4 (Ac2LaSm9)? -0.338 Ry/atom

---

Among the records above, which one has the lowest calculated volume? BaSiAsOs2